1.
Here is crystalline ZnIr3S at its relaxed geometry from the Alexandria database. Energies are from GGA-PBE.

- Uncorrected formation energy: 0.729 eV/atom
- Excess energy over the best structure of this formula in the dataset: 0.0 meV/atom

Cell: 4.393 4.393 4.393 Å, 90.00 90.00 90.00°
Sites, in units of the cell vectors:
Zn1 0.500 0.500 0.500
Ir1 0.000 0.500 0.000
Ir2 0.000 0.000 0.500
Ir3 0.500 0.000 0.000
S1 0.000 0.000 0.000

=====

2.
Here is crystalline Zn3IrS at its relaxed geometry from the Alexandria database. Energies are from GGA-PBE.

- Uncorrected formation energy: 0.761 eV/atom
- Excess energy over the best structure of this formula in the dataset: 250.9 meV/atom

Cell: 4.479 4.479 4.479 Å, 90.00 90.00 90.00°
Sites, in units of the cell vectors:
Zn1 0.000 0.500 0.000
Zn2 0.000 0.000 0.500
Zn3 0.500 0.000 0.000
Ir1 0.500 0.500 0.500
S1 0.000 0.000 0.000

=====

3.
Here is crystalline ZnIrS2 at its relaxed geometry from the Alexandria database. Energies are from GGA-PBE.

- Uncorrected formation energy: -0.183 eV/atom

Cell: 5.329 5.329 6.641 Å, 66.34 66.34 90.00°
Sites, in units of the cell vectors:
Zn1 0.500 0.500 0.000
Zn2 0.250 0.750 0.500
Ir1 0.000 0.000 0.000
Ir2 0.750 0.250 0.500
S1 0.638 0.125 0.250
S2 0.112 0.625 0.250
S3 0.375 0.362 0.750
S4 0.875 0.888 0.750

=====

4.
Here is crystalline ZnIrS at its relaxed geometry from the Alexandria database. Energies are from GGA-PBE.

- Uncorrected formation energy: 0.050 eV/atom

Cell: 4.001 4.309 6.903 Å, 71.81 90.00 90.00°
Sites, in units of the cell vectors:
S1 0.750 0.654 0.692
S2 0.250 0.346 0.308
Zn1 0.250 0.164 0.672
Zn2 0.750 0.836 0.328
Ir1 0.250 0.567 0.866
Ir2 0.750 0.433 0.134

=====

5.
Here is crystalline ZrZnIr2S at its relaxed geometry from the Alexandria database. Energies are from GGA-PBE.

- Uncorrected formation energy: 0.210 eV/atom

Cell: 4.422 4.718 4.422 Å, 90.00 90.00 90.00°
Sites, in units of the cell vectors:
Zn1 0.500 0.500 0.500
Ir1 0.000 0.000 0.500
Ir2 0.500 0.000 0.000
S1 0.000 0.000 0.000
Zr1 0.000 0.500 0.000

=====

6.
Here is crystalline ZrIrS3 at its relaxed geometry from the Alexandria database. Energies are from GGA-PBE.

- Uncorrected formation energy: 0.081 eV/atom
- Excess energy over the best structure of this formula in the dataset: 0.0 meV/atom

Cell: 4.594 4.594 4.594 Å, 90.00 90.00 90.00°
Sites, in units of the cell vectors:
S1 0.000 0.500 0.000
S2 0.000 0.000 0.500
S3 0.500 0.000 0.000
Ir1 0.000 0.000 0.000
Zr1 0.500 0.500 0.500

=====

What is the uncorrected formation energy in the sixth record?
0.081 eV/atom

=====

Which value of uncorrected formation energy does entry 1 give?
0.729 eV/atom

=====

Which formula does entry 3 have?
ZnIrS2